A relaxed structure of KNa2CoOs. Source: Alexandria via LeMat-Bulk, functional PBE-GGA.

abc: 5.664 4.464 5.664
angles: 90.00 90.00 90.00
Last column: magnetic moment on the atom in μB.
Element x y z (fractional)
Na  0.500  0.000  0.000  0.00
Os  0.000  0.000  0.000  0.72
Co  0.000  0.500  0.000  1.32
K  0.500  0.500  0.500  -0.01
Na  0.000  0.000  0.500  0.00

E_form = 0.956 eV/atom
Volume = 28.6 Å³/atom



A relaxed structure of KNa2CoSb. Source: Alexandria via LeMat-Bulk, functional PBE-GGA.

abc: 5.909 6.728 5.909
angles: 90.00 90.00 90.00
Last column: magnetic moment on the atom in μB.
Element x y z (fractional)
Sb  0.000  0.000  0.000  0.17
Co  0.500  0.500  0.500  2.40
Na  0.000  0.000  0.500  0.00
K  0.000  0.500  0.000  0.01
Na  0.500  0.000  0.000  0.00

Uncorrected formation energy = 309 kJ/mol of formula units
Volume = 47.0 Å³/atom



> What is the formula in the second record?

KNa2CoSb